Model one:
Density functional theory data (PBE-GGA) for an optimized crystal structure of Ag2ICl4.

Results
density of states at the Fermi level	12.5	states/eV per cell

```
14
Lattice="3.8188 0.0000 0.8016 1.4218 11.3458 2.7237 -0.2411 1.4551 10.6456" Properties=species:S:1:pos:R:3 pbc="T T T"
I 1.6393 10.9662 11.1848
I 3.3602 1.8347 2.9860
Cl 0.2016 2.1645 8.5368
Cl 3.0565 7.4805 4.4333
Cl 3.3539 4.3864 3.0160
Cl 1.9431 5.3204 9.7376
Cl 0.7663 4.2087 5.8465
Cl 4.2332 8.5922 8.3243
Cl 4.7979 10.6365 5.6341
Cl 1.6456 8.4145 11.1549
Ag 2.6299 9.2035 6.4652
Ag 2.3696 3.5974 7.7057
Ag 3.7920 6.9145 10.4263
Ag 1.2075 5.8865 3.7446
```

=====

Model two:
Density functional theory data (PBE-GGA) for an optimized crystal structure of Ag2ICl4.

Results
density of states at the Fermi level	4.4	states/eV per cell

```
7
Lattice="6.9534 0.0000 0.0000 0.0000 6.9534 0.0000 -3.4767 -3.4767 3.7638" Properties=species:S:1:pos:R:3 pbc="T T T"
Cl 1.5810 5.3724 0.7786
Cl -1.8957 -1.8957 2.9851
Cl 1.8957 1.8957 2.9851
Cl 5.3724 1.5810 0.7786
Ag 3.4767 0.0000 1.8819
Ag 0.0000 3.4767 1.8819
I 3.4767 3.4767 0.0000
```

=====

Which is most stable? The ranking, best first, is model one, model two.

=====

Model one:
Density functional theory data (PBE-GGA) for an optimized crystal structure of Ag2ICl2.

Results
density of states at the Fermi level	6.2	states/eV per cell

```
10
Lattice="-3.0513 2.3378 0.6570 -5.5220 -1.2891 -9.4732 -4.5483 -3.7936 3.9370" Properties=species:S:1:pos:R:3 pbc="T T T"
Cl -11.3357 -2.0450 -4.8669
Cl -4.7762 -0.6767 -2.4127
Cl -8.3454 -2.0682 -2.4664
Cl -1.7859 -0.6999 -0.0122
Ag -2.9699 1.3107 -1.0906
Ag -6.6474 -0.3529 -0.6812
Ag -6.4742 -2.3920 -4.1980
Ag -10.1517 -4.0556 -3.7885
I -7.5601 -0.1540 -5.6286
I -5.5616 -2.5909 0.7495
```

=====

Model two:
Density functional theory data (PBE-GGA) for an optimized crystal structure of Ag2ICl2.

Results
density of states at the Fermi level	8.3	states/eV per cell

```
10
Lattice="4.4033 0.0000 0.0000 -2.2017 6.5992 -3.0813 0.0000 0.4379 10.2856" Properties=species:S:1:pos:R:3 pbc="T T T"
Ag 2.2017 3.9795 2.0481
Ag 0.0000 3.0575 5.1561
Ag 0.0000 6.5343 -0.9451
Ag 2.2017 0.5028 8.1493
I 0.0000 5.1832 7.1411
I 2.2017 1.8538 0.0632
Cl 0.0000 1.4750 7.0341
Cl 2.2017 2.0839 3.7468
Cl 0.0000 4.9532 3.4575
Cl 2.2017 5.5621 0.1702
```

=====

Which is most stable? The ranking, best first, is model one, model two.

=====

Model one:
Density functional theory data (PBE-GGA) for an optimized crystal structure of AgI2Cl.

Results
density of states at the Fermi level	0.0	states/eV per cell

```
8
Lattice="10.0542 0.0000 0.0000 0.0000 10.0542 0.0000 5.0271 5.0271 2.7016" Properties=species:S:1:pos:R:3 pbc="T T T"
Cl 5.0271 5.0271 0.0000
Cl 5.0271 10.0542 1.3508
I 12.5677 13.0621 2.0262
I 8.0350 2.5135 0.6754
I 7.5406 7.0462 2.0262
I 2.0191 7.5406 0.6754
Ag 10.0542 5.0271 1.3508
Ag 0.0000 0.0000 0.0000
```

=====

Model two:
Density functional theory data (PBE-GGA) for an optimized crystal structure of AgI2Cl.

```
16
Lattice="-2.8585 3.7497 -1.3355 2.6804 -0.7983 -7.9787 -11.2474 -9.2111 -1.7884" Properties=species:S:1:pos:R:3 pbc="T T T"
I 1.0386 -1.4951 -7.1788
I -0.6416 -0.7637 -5.0098
I -7.1136 -4.1426 -4.6388
I -10.7839 -5.4960 -6.0927
I -7.6871 -4.8630 -1.9528
I -12.4642 -4.7646 -3.9238
I -4.3120 -2.1171 -6.4638
I -3.7385 -1.3967 -9.1498
Cl -3.4360 -3.3647 -2.4135
Cl -9.0468 -6.6283 -7.9172
Cl -7.9896 -2.8950 -8.6891
Cl -2.3788 0.3686 -3.1854
Ag -7.2719 -6.6970 -5.8502
Ag -4.1536 0.4373 -5.2524
Ag -3.5874 -0.9066 -1.2465
Ag -7.8381 -5.3531 -9.8561
```

=====

Which is most stable? The ranking, best first, is model two, model one.

=====

Model one:
Density functional theory data (PBE-GGA) for an optimized crystal structure of AgICl4.

```
12
Lattice="-6.8441 2.3037 2.5632 0.2623 -5.3244 5.4857 3.7467 5.4474 5.1082" Properties=species:S:1:pos:R:3 pbc="T T T"
Cl 2.2462 4.5941 7.1186
Cl -1.3742 -3.4152 4.6501
Cl -1.3348 3.2800 11.1466
Cl 0.4349 -0.8263 7.3950
Cl 0.2930 2.0537 4.4276
Cl -3.2700 3.2531 5.7621
Cl -3.1282 0.3730 8.7293
Cl -5.2076 0.3946 3.3989
Ag -1.5487 3.8756 3.8357
Ag 0.0000 0.0000 0.0000
I 1.8733 2.7237 2.5541
I 0.1311 -2.6622 2.7428
```

=====

Model two:
Density functional theory data (PBE-GGA) for an optimized crystal structure of AgICl4.

Results
density of states at the Fermi level	7.2	states/eV per cell

```
12
Lattice="-0.1857 5.3550 5.7627 -3.7356 -5.6371 4.0231 3.1626 -2.1112 6.8891" Properties=species:S:1:pos:R:3 pbc="T T T"
Cl -0.8717 -1.6046 10.0241
Cl -0.4376 -2.5164 14.9039
Cl -1.2739 -4.0918 6.9498
Cl 0.1131 -0.7887 6.6508
Cl 0.4789 -4.6164 10.4788
Cl -1.2375 2.2231 6.1962
Cl -0.3211 0.1231 1.7709
Cl 0.5153 1.6985 9.7251
I -1.0127 -3.1690 12.2888
I 0.2541 0.7757 4.3860
Ag -1.7064 0.6346 9.2793
Ag 0.9479 -3.0279 7.3951
```

=====

Which is most stable? The ranking, best first, is model one, model two.

=====

Model one:
Density functional theory data (PBE-GGA) for an optimized crystal structure of Ag3ICl2.

```
12
Lattice="-4.8897 3.0139 3.7291 0.5961 -3.0727 3.2650 8.9962 7.6822 5.5872" Properties=species:S:1:pos:R:3 pbc="T T T"
Cl 5.3134 5.3389 4.0543
Cl 3.5892 7.6619 9.6881
Cl 2.5924 3.0153 2.3644
Cl -2.6860 2.3033 5.7908
Ag -2.8155 0.3828 4.0071
Ag 7.2850 6.8683 5.1337
Ag -0.9241 3.9620 7.0302
Ag 2.7220 4.9358 4.1481
Ag 1.6176 6.1324 8.6087
Ag 0.8305 1.3566 1.1251
I 1.8201 4.1391 6.6958
I -1.9136 1.1795 1.4594
```

=====

Model two:
Density functional theory data (PBE-GGA) for an optimized crystal structure of Ag3ICl2.

```
12
Lattice="-4.8989 5.1323 -2.7995 3.1594 -5.1760 -4.6265 -4.8846 -4.4974 3.8315" Properties=species:S:1:pos:R:3 pbc="T T T"
Cl -5.3378 0.2084 -1.4081
Cl 1.0371 -2.5737 -4.2154
Cl -1.5783 0.7866 -3.6231
Cl -2.7087 -3.1404 -2.0048
Ag -7.2972 -1.5104 -0.9985
Ag -1.0313 -4.1531 -3.7811
Ag -5.3943 -3.1120 2.5649
Ag -1.4677 -2.7621 0.3126
Ag -3.5504 -0.8665 -3.0588
Ag -4.6916 -4.7795 -1.4380
I -4.2507 4.1630 -3.0364
I -0.0797 -6.5457 -2.6201
```

=====

Which is most stable? The ranking, best first, is model two, model one.

=====

Model one:
Density functional theory data (PBE-GGA) for an optimized crystal structure of AgI2NCl.

Results
density of states at the Fermi level	6.7	states/eV per cell

```
5
Lattice="-1.3691 -4.3574 -3.6839 5.5986 -1.7573 -0.0021 -0.7729 -2.4662 3.2043" Properties=species:S:1:pos:R:3 pbc="T T T"
N -0.3865 -1.2331 1.6022
I -0.6845 -2.1787 -1.8420
I 2.7993 -0.8787 -0.0010
Cl 1.7283 -4.2905 -0.2408
Ag 0.0000 0.0000 0.0000
```

=====

Model two:
Density functional theory data (PBE-GGA) for an optimized crystal structure of AgI2NCl.

Results
density of states at the Fermi level	1.6	states/eV per cell

```
5
Lattice="-0.3570 6.8877 -1.0085 -2.8305 0.7790 6.3219 3.0247 0.3488 1.3113" Properties=species:S:1:pos:R:3 pbc="T T T"
N 1.5123 0.1744 0.6556
Ag -0.0814 4.0077 3.3124
I -0.1785 3.4439 -0.5042
I -1.4152 0.3895 3.1610
Cl 0.0000 0.0000 0.0000
```

=====

Which is most stable? The ranking, best first, is model one, model two.

=====

Model one:
Density functional theory data (PBE-GGA) for an optimized crystal structure of AgP2ICl.

Results
density of states at the Fermi level	5.1	states/eV per cell

```
5
Lattice="5.2460 0.0000 0.0000 0.0000 5.2460 0.0000 0.0000 0.0000 5.4490" Properties=species:S:1:pos:R:3 pbc="T T T"
Ag 2.6230 2.6230 2.7245
Cl 0.0000 0.0000 2.7245
P 2.6230 0.0000 0.0000
P 0.0000 2.6230 0.0000
I 0.0000 0.0000 0.0000
```

=====

Model two:
Density functional theory data (PBE-GGA) for an optimized crystal structure of AgP2ICl.

Results
density of states at the Fermi level	3.6	states/eV per cell

```
5
Lattice="4.9883 0.0000 0.0000 0.0000 4.9883 0.0000 0.0000 0.0000 4.8981" Properties=species:S:1:pos:R:3 pbc="T T T"
P 2.4941 0.0000 0.0000
P 0.0000 2.4941 0.0000
I 2.4941 2.4941 2.4490
Cl 0.0000 0.0000 2.4490
Ag 0.0000 0.0000 0.0000
```

=====

Which is most stable? The ranking, best first, is model two, model one.

=====

Model one:
Density functional theory data (PBE-GGA) for an optimized crystal structure of AgPICl2.

Results
density of states at the Fermi level	4.2	states/eV per cell

```
5
Lattice="-0.9878 -3.7563 -2.7958 4.5053 0.0163 -1.6138 1.4852 -3.4507 4.1114" Properties=species:S:1:pos:R:3 pbc="T T T"
I 2.5013 -3.5953 -0.1491
Cl -0.4939 -1.8782 -1.3979
Cl 2.2527 0.0082 -0.8069
P 0.7426 -1.7253 2.0557
Ag 0.0000 0.0000 0.0000
```

=====

Model two:
Density functional theory data (PBE-GGA) for an optimized crystal structure of AgPICl2.

Results
density of states at the Fermi level	4.4	states/eV per cell

```
5
Lattice="5.5732 0.0000 0.0000 0.0000 5.5732 0.0000 0.0000 0.0000 5.1411" Properties=species:S:1:pos:R:3 pbc="T T T"
Cl 0.0000 2.7866 0.0000
Cl 2.7866 0.0000 0.0000
P 0.0000 0.0000 2.5705
I 0.0000 0.0000 0.0000
Ag 2.7866 2.7866 2.5705
```

=====

Which is most stable? The ranking, best first, is model one, model two.

=====

Model one:
Density functional theory data (PBE-GGA) for an optimized crystal structure of AgTe2ICl.

Results
density of states at the Fermi level	4.2	states/eV per cell

```
5
Lattice="-3.0125 3.1153 -2.8161 -4.1637 -1.7650 2.5017 0.8059 5.4992 5.2213" Properties=species:S:1:pos:R:3 pbc="T T T"
Ag -3.1852 3.4247 2.4534
Te -2.0819 -0.8825 1.2508
Te -1.5063 1.5576 -1.4080
I 0.4030 2.7496 2.6106
Cl 0.0000 0.0000 0.0000
```

=====

Model two:
Density functional theory data (PBE-GGA) for an optimized crystal structure of AgTe2ICl.

Results
density of states at the Fermi level	6.2	states/eV per cell

```
5
Lattice="-0.1224 -4.3253 -3.3437 4.9699 1.3055 -1.8707 2.3094 -3.1233 3.9557" Properties=species:S:1:pos:R:3 pbc="T T T"
Ag 0.0000 0.0000 0.0000
Cl 3.5784 -3.0716 -0.6293
Te 2.4849 0.6527 -0.9353
Te -0.0612 -2.1627 -1.6718
I 1.1547 -1.5616 1.9779
```

=====

Which is most stable? The ranking, best first, is model two, model one.

=====

Model one:
Density functional theory data (PBE-GGA) for an optimized crystal structure of InAg3Cl.

Results
density of states at the Fermi level	3.7	states/eV per cell

```
5
Lattice="5.2993 0.0000 0.0000 0.0000 5.2993 0.0000 0.0000 0.0000 5.2993" Properties=species:S:1:pos:R:3 pbc="T T T"
Cl 2.6497 2.6497 2.6497
Ag 0.0000 2.6497 0.0000
Ag 0.0000 0.0000 2.6497
Ag 2.6497 0.0000 0.0000
In 0.0000 0.0000 0.0000
```

=====

Model two:
Density functional theory data (PBE-GGA) for an optimized crystal structure of InAg3Cl.

Results
density of states at the Fermi level	3.0	states/eV per cell

```
5
Lattice="-4.8914 1.2379 -0.5579 -1.2600 -4.9155 0.1399 -0.5061 0.2732 5.0437" Properties=species:S:1:pos:R:3 pbc="T T T"
Cl 0.0000 0.0000 0.0000
In -3.3287 -1.7022 2.3128
Ag -0.6300 -2.4578 0.0699
Ag -0.2530 0.1366 2.5218
Ag -2.4457 0.6190 -0.2789
```

=====

Which is most stable? The ranking, best first, is model two, model one.

=====

Model one:
Density functional theory data (PBE-GGA) for an optimized crystal structure of Na2InAgCl6.

```
10
Lattice="0.0000 5.2032 5.2032 5.2032 0.0000 5.2032 5.2032 5.2032 0.0000" Properties=species:S:1:pos:R:3 pbc="T T T"
Na 2.6016 2.6016 2.6016
Na 7.8048 7.8048 7.8048
In 0.0000 0.0000 0.0000
Cl 5.2032 2.5346 5.2032
Cl 5.2032 5.2032 7.8718
Cl 5.2032 5.2032 2.5346
Cl 7.8718 5.2032 5.2032
Cl 2.5346 5.2032 5.2032
Cl 5.2032 7.8718 5.2032
Ag 5.2032 5.2032 5.2032
```

=====

Model two:
Density functional theory data (PBE-GGA) for an optimized crystal structure of Na2InAgCl6.

Results
density of states at the Fermi level	0.0	states/eV per cell

```
10
Lattice="-6.3506 0.2654 2.7830 -5.4215 -2.6605 -3.4327 -2.9673 -6.2170 2.4583" Properties=species:S:1:pos:R:3 pbc="T T T"
Na -7.4456 -3.8806 0.6970
Na -3.0149 -5.9602 2.3322
Cl -8.7547 -6.4939 0.6729
Cl -5.5475 -1.9650 1.5126
Cl -7.2922 -4.0640 -2.1047
Cl -9.9866 -2.8382 1.3138
Cl -5.2896 -5.8559 0.7208
Cl -7.3015 -4.8683 3.4366
Ag -11.2289 -5.4682 0.8609
In -3.8971 -0.9502 -0.1419
```

=====

Which is most stable? The ranking, best first, is model two, model one.

=====

Model one:
Density functional theory data (PBE-GGA) for an optimized crystal structure of AgIr2Cl.

Results
density of states at the Fermi level	3.0	states/eV per cell

```
4
Lattice="-0.3066 -0.4505 -2.7250 2.0184 -3.1779 0.2982 -6.1140 -3.7602 1.3095" Properties=species:S:1:pos:R:3 pbc="T T T"
Ir -0.5109 -0.3142 0.1094
Ir -0.4628 -2.6252 -0.9310
Ag -2.9546 -1.8171 0.6328
Cl -3.5308 -4.5121 -0.2739
```

=====

Model two:
Density functional theory data (PBE-GGA) for an optimized crystal structure of AgIr2Cl.

Results
density of states at the Fermi level	5.7	states/eV per cell

```
4
Lattice="-1.2175 8.4641 -2.4096 -3.8713 7.8560 -1.4918 -1.8563 8.6797 0.3833" Properties=species:S:1:pos:R:3 pbc="T T T"
Ag -1.7363 6.2500 -0.8795
Cl -5.2089 18.7499 -2.6386
Ir -3.4369 12.3714 -1.7410
Ir -0.0357 0.1285 -0.0181
```

=====

Model three:
Density functional theory data (PBE-GGA) for an optimized crystal structure of AgIr2Cl.

Results
density of states at the Fermi level	3.7	states/eV per cell

```
4
Lattice="2.8866 0.0002 0.0000 -1.5145 2.4574 0.0000 0.0000 0.0000 9.2637" Properties=species:S:1:pos:R:3 pbc="T T T"
Ag 0.0000 0.0000 4.6094
Cl 0.6861 1.2288 7.1503
Ir 0.0000 0.0000 9.2368
Ir 0.6861 1.2288 2.1614
```

=====

Which is most stable? The ranking, best first, is model one, model three, model two.